[1]
This record from Alexandria via LeMat-Bulk describes ErTmTlRh after structural relaxation. The functional is PBE.

Results
For the density, the calculation gives 11.6 g cm⁻³. Its density of states at the Fermi level is 1.3 states/eV per cell. For the distance to the lowest polymorph of the same formula, the calculation gives 0.000 eV/atom. The calculation puts the formation energy at -0.648 eV per atom.

```
4
Lattice="3.500 0.000 0.000 0.000 3.500 0.000 0.000 0.000 7.523" Properties=species:S:1:pos:R:3 pbc="T T T"
Er 0.000 0.000 0.000
Tm 0.000 0.000 4.288
Tl 1.750 1.750 2.154
Rh 1.750 1.750 5.885
```

=====

[2]
This record from Alexandria via LeMat-Bulk describes TbCe2ScS6 after structural relaxation. The functional is PBE.

Results
The total energy is -6.6995 eV/atom. For the density, the calculation gives 4.4 g cm⁻³. Its density of states at the Fermi level is 10.8 states/eV per cell.

```
10
Lattice="3.488 2.014 6.067 -3.488 2.014 6.067 0.000 -4.027 6.067" Properties=species:S:1:pos:R:3 pbc="T T T"
Tb 0.000 0.000 0.000
Ce 0.000 0.000 5.305
Ce 0.000 0.000 14.445
Sc 0.000 0.000 9.035
S -2.017 0.148 7.356
S -1.375 -1.774 10.334
S 0.880 -1.821 7.356
S -0.848 2.078 10.334
S 1.137 1.673 7.356
S 2.224 -0.304 10.334
```

=====

[3]
This record from Alexandria via LeMat-Bulk describes CaMg2Tl after structural relaxation. The functional is PBE.

Results
For the density, the calculation gives 4.5 g cm⁻³. Its density of states at the Fermi level is 1.7 states/eV per cell. For the distance to the lowest polymorph of the same formula, the calculation gives 0.097 eV/atom. The calculation puts the formation energy at -0.109 eV per atom.

```
4
Lattice="3.554 0.000 0.000 0.000 5.280 0.000 -0.593 0.000 5.821" Properties=species:S:1:pos:R:3 pbc="T T T"
Ca 0.000 0.000 0.000
Mg 0.887 2.640 4.320
Mg 2.074 2.640 1.501
Tl 1.480 0.000 2.911
```

=====

[4]
This record from Alexandria via LeMat-Bulk describes MgAgPt2 after structural relaxation. The functional is PBE.

Results
For the density, the calculation gives 13.1 g cm⁻³. Its density of states at the Fermi level is 2.7 states/eV per cell. The calculation puts the formation energy at -0.338 eV per atom.

```
4
Lattice="0.000 3.209 3.209 3.209 0.000 3.209 3.209 3.209 0.000" Properties=species:S:1:pos:R:3 pbc="T T T"
Mg 0.000 0.000 0.000
Ag 4.814 4.814 4.814
Pt 1.605 1.605 1.605
Pt 3.209 3.209 3.209
```

=====

[5]
This record from Alexandria via LeMat-Bulk describes InTe2Pd3 after structural relaxation. The functional is PBE.

Results
The total energy is -4.3734 eV/atom. For the density, the calculation gives 8.8 g cm⁻³. Its density of states at the Fermi level is 6.4 states/eV per cell.

```
12
Lattice="3.473 -5.755 0.000 3.473 5.755 0.000 -2.064 0.000 6.507" Properties=species:S:1:pos:R:3 pbc="T T T"
In 1.925 4.809 4.880
In 2.957 -4.809 1.627
Te 2.957 3.075 1.627
Te 1.925 1.021 4.880
Te 2.957 -1.021 1.627
Te 1.925 -3.075 4.880
Pd 0.704 2.877 3.254
Pd 1.703 0.860 0.065
Pd 0.671 -0.860 3.319
Pd 1.736 -2.877 0.000
Pd 4.211 0.860 3.188
Pd 3.179 -0.860 6.442
```

=====

[6]
This record from Alexandria via LeMat-Bulk describes KTlIr2 after structural relaxation. The functional is PBE.

Results
For the density, the calculation gives 11.5 g cm⁻³. Its density of states at the Fermi level is 2.3 states/eV per cell. For the distance to the lowest polymorph of the same formula, the calculation gives 0.462 eV/atom. The calculation puts the formation energy at 0.773 eV per atom.

```
4
Lattice="2.835 0.000 0.000 0.000 4.571 0.000 0.000 0.000 6.997" Properties=species:S:1:pos:R:3 pbc="T T T"
K 0.000 0.000 0.000
Tl 0.000 0.000 3.498
Ir 1.417 2.285 2.260
Ir 1.417 2.285 4.736
```